Entry from Alexandria via LeMat-Bulk: BaThNiSe4 after structural relaxation (PBE-GGA).

Values from the calculation:
Crystal system: monoclinic
ρ: 6.66 Mg/m³
Energy: -77.50 eV/cell

```
14
Lattice="-0.052 6.422 3.079 -5.557 0.966 -2.110 -3.311 -5.818 6.056" Properties=species:S:1:pos:R:3 pbc="T T T"
Se -6.153 -0.055 3.288
Se -1.005 4.739 4.733
Ni -3.657 1.138 5.856
Se -3.730 5.212 3.698
Ba -1.606 1.538 0.637
Th -3.254 -1.276 3.690
Th -5.666 2.846 3.335
Se -5.191 -3.642 3.326
Se -2.768 1.625 3.737
Ni -5.263 0.432 1.169
Se -4.256 -1.104 6.407
Se -7.916 -3.168 2.292
Ba -7.314 0.033 6.388
Se -4.664 2.674 0.618
```

---

Entry from Alexandria via LeMat-Bulk: RbIrOs after structural relaxation (PBE-GGA).

Values from the calculation:
Distance to the lowest polymorph of the same formula: 0.042 eV per atom
Crystal system: monoclinic
ρ: 9.09 Mg/m³
E_form: 56 kJ per mole of atoms
Energy: -38.63 eV/cell

```
6
Lattice="4.432 0.000 0.002 0.000 4.248 0.000 0.631 0.000 9.077" Properties=species:S:1:pos:R:3 pbc="T T T"
Ir 0.992 1.062 3.380
Rb 1.714 1.062 7.622
Os 3.316 1.062 4.498
Ir 4.070 3.186 5.698
Os 1.746 3.186 4.580
Rb 3.348 3.186 1.456
```

---

Entry from Alexandria via LeMat-Bulk: AcHoPd3 after structural relaxation (PBE-GGA).

Values from the calculation:
Crystal system: orthorhombic
ρ: 9.98 Mg/m³
E_form: -82 kJ per mole of atoms
Energy: -57.04 eV/cell

```
10
Lattice="4.403 0.000 0.000 0.000 3.961 0.000 0.000 -1.981 13.573" Properties=species:S:1:pos:R:3 pbc="T T T"
Pd 1.101 0.000 12.782
Ho 3.303 0.000 5.609
Ho 1.101 1.981 7.964
Ac 3.303 1.981 11.544
Pd 1.101 1.981 5.143
Ac 1.101 0.000 2.028
Pd 1.101 0.000 10.079
Pd 3.303 0.000 8.430
Pd 3.303 1.981 0.791
Pd 3.303 1.981 3.493
```

---

Entry from Alexandria via LeMat-Bulk: BiSbIr after structural relaxation (PBE-GGA).

Values from the calculation:
Distance to the lowest polymorph of the same formula: 0.000 eV per atom
Crystal system: monoclinic
ρ: 11.93 Mg/m³
Energy: -70.04 eV/cell

```
12
Lattice="-4.702 -2.619 4.102 4.969 -3.084 3.727 -1.707 6.307 2.071" Properties=species:S:1:pos:R:3 pbc="T T T"
Ir 0.946 0.856 1.714
Sb -3.536 0.853 6.096
Ir 1.149 -1.957 5.568
Sb -0.015 -0.111 7.056
Bi 0.037 -4.021 7.109
Sb 2.096 -0.249 3.805
Ir -2.589 2.561 4.332
Sb -1.425 0.715 2.845
Bi -1.386 -1.888 4.320
Ir -2.386 -0.252 8.187
Bi -1.477 4.625 2.791
Bi -0.054 2.492 5.581
```

---

Entry from Alexandria via LeMat-Bulk: Hf3TiSn4 after structural relaxation (PBE-GGA).

Values from the calculation:
Crystal system: orthorhombic
ρ: 7.40 Mg/m³
E_form: 22 kJ per mole of atoms
Energy: -103.81 eV/cell

```
16
Lattice="5.658 0.000 0.000 0.000 8.503 0.000 0.000 0.000 9.869" Properties=species:S:1:pos:R:3 pbc="T T T"
Hf 0.364 5.663 2.447
Sn 3.194 5.712 7.342
Sn 3.194 1.433 0.000
Hf 3.194 2.841 2.487
Ti 3.194 7.074 4.935
Sn 0.365 7.070 4.935
Sn 0.364 7.167 0.000
Sn 3.193 1.336 4.935
Hf 0.364 5.663 7.422
Hf 3.194 2.841 7.382
Ti 0.365 1.430 0.000
Sn 0.364 2.791 2.408
Sn 0.364 2.791 7.462
Hf 3.193 7.075 0.000
Sn 3.194 5.712 2.527
Hf 0.364 1.428 4.935
```

---

Entry from Alexandria via LeMat-Bulk: TlIO3 after structural relaxation (PBE-GGA).

Values from the calculation:
Crystal system: orthorhombic
ρ: 6.12 Mg/m³
Energy: -42.88 eV/cell

```
10
Lattice="5.880 0.000 0.000 0.000 5.542 0.000 0.000 0.000 6.316" Properties=species:S:1:pos:R:3 pbc="T T T"
O 0.174 5.404 1.890
Tl 2.563 0.997 1.890
I 2.595 3.851 5.048
O 0.633 2.967 0.483
I 5.534 3.646 1.890
Tl 5.503 0.958 5.047
O 3.114 2.093 5.048
O 0.632 2.967 3.297
O 3.572 4.530 0.139
O 3.573 4.530 3.641
```

---

Entry from Alexandria via LeMat-Bulk: CaTiRh after structural relaxation (PBE-GGA).

Values from the calculation:
Crystal system: tetragonal
ρ: 4.72 Mg/m³
E_form: -48 kJ per mole of atoms
Energy: -37.45 eV/cell

```
6
Lattice="4.313 0.000 0.000 0.000 4.313 0.000 0.000 0.000 7.218" Properties=species:S:1:pos:R:3 pbc="T T T"
Ti 0.000 0.000 3.609
Rh 0.000 2.156 2.289
Ca 0.000 2.156 6.164
Ti 2.156 2.156 3.609
Ca 2.156 0.000 1.054
Rh 2.156 0.000 4.929
```

---

Entry from Alexandria via LeMat-Bulk: YPuTeP after structural relaxation (PBE-GGA).

Values from the calculation:
Crystal system: trigonal
ρ: 7.74 Mg/m³
Energy: -34.79 eV/cell

```
4
Lattice="-2.615 3.226 0.169 -3.668 -0.195 -1.944 -5.034 -1.678 5.226" Properties=species:S:1:pos:R:3 pbc="T T T"
Pu -6.388 2.936 -1.568
P -2.834 0.334 0.872
Y -5.556 0.771 1.522
Te -8.483 1.021 2.577
```

---

Entry from Alexandria via LeMat-Bulk: CrPBr after structural relaxation (PBE-GGA).

Values from the calculation:
Distance to the lowest polymorph of the same formula: 0.391 eV per atom
Crystal system: tetragonal
ρ: 4.49 Mg/m³
Energy: -16.12 eV/cell

```
3
Lattice="-5.872 -3.167 0.054 -3.215 -5.025 2.988 3.814 5.474 0.012" Properties=species:S:1:pos:R:3 pbc="T T T"
Br -8.752 -7.890 2.929
Cr -2.861 -2.579 0.958
P -6.561 -5.915 2.196
```

---

Entry from Alexandria via LeMat-Bulk: LiTbCu after structural relaxation (PBE-GGA).

Values from the calculation:
Distance to the lowest polymorph of the same formula: 0.000 eV per atom
Crystal system: tetragonal
ρ: 6.46 Mg/m³
E_form: -4 kJ per mole of atoms
Energy: -10.76 eV/cell

```
3
Lattice="-1.085 2.622 2.127 -2.683 -2.025 1.128 4.592 -1.970 1.814" Properties=species:S:1:pos:R:3 pbc="T T T"
Li -1.133 -0.165 2.582
Cu 1.480 -0.913 1.881
Tb 0.489 -1.166 4.643
```

---

Entry from Alexandria via LeMat-Bulk: Ca2ScUN4 after structural relaxation (PBE-GGA).

Values from the calculation:
Crystal system: monoclinic
ρ: 6.17 Mg/m³
Energy: -66.46 eV/cell

```
8
Lattice="3.457 0.000 0.000 0.000 5.929 -0.210 0.000 2.007 5.433" Properties=species:S:1:pos:R:3 pbc="T T T"
Ca 0.000 2.007 5.433
N 1.728 3.175 3.943
N 3.457 2.216 1.301
U 0.000 3.968 2.611
N 0.000 5.721 3.921
N 1.728 4.762 1.279
Ca 1.728 1.004 2.716
Sc 1.728 4.972 5.327
```

---

Entry from Alexandria via LeMat-Bulk: Ca2InGaTe after structural relaxation (PBE-GGA).

Values from the calculation:
Crystal system: tetragonal
ρ: 3.17 Mg/m³
Energy: -13.15 eV/cell

```
5
Lattice="-3.247 -0.614 4.741 3.005 -5.198 1.386 3.861 3.042 3.039" Properties=species:S:1:pos:R:3 pbc="T T T"
Ca -1.624 -0.307 2.371
In 1.503 -2.599 0.693
Ca 1.931 1.521 1.519
Ga 1.810 -1.385 4.583
Te 0.000 0.000 0.000
```